Compound: Zr2NiC
Source: the Alexandria database
Functional: GGA-PBE
Structure: optimized geometry

Values from the calculation:
D(E_F) in states/eV per atom: 0.5424
Spin magnetization in μB/atom: 0.00
DFT formation energy in eV per formula unit: -2.41
DFT total energy in eV/atom: -8.628

abc: 3.4613 3.3942 10.4690
angles: 99.33 90.00 90.00
With the nearest neighbours (Å) after each atom.
Atoms (fractional coordinates):
Zr1 0.7500 0.6963 0.3927  5 C 2.29-2.42
Zr2 0.2500 0.3037 0.6073  5 C 2.29-2.42
Zr3 0.7500 0.9166 0.8333  1 C 2.26
Zr4 0.2500 0.0834 0.1667  1 C 2.26
Ni1 0.2500 0.4590 0.9180  2 Ni 2.42, 4 Zr 2.58
Ni2 0.7500 0.5410 0.0820  2 Ni 2.42, 4 Zr 2.58
C1 0.2500 0.1928 0.3857  6 Zr 2.26-2.42
C2 0.7500 0.8072 0.6143  6 Zr 2.26-2.42